Computed, not measured: a relaxed GaIr3W crystal at the GGA-PBE level of DFT.

a b c (Å): 4.469 4.469 4.469
angles (deg): 90.00 90.00 90.00
Positions (direct):
Ir  0.000  0.500  0.000
Ir  0.000  0.000  0.500
Ir  0.500  0.000  0.000
Ga  0.000  0.000  0.000
W  0.500  0.500  0.500

Output
Energy above the lowest structure with this stoichiometry (eV/f.u.): 0.00
Energy of formation from the pure elements (eV per atom): 1.4853
Magnetization (μB per cell): 2.011
Space-group type: Pm-3m, No. 221